Entry 1:
Entry from the Alexandria database: a relaxed HgAuBr2 crystal (PBE).

Results
Magnetization   0.000 μB per atom
Symmetry   Pmmm
Volume   27.8 A^3/atom
E_tot   -1.687 eV/atom
Crystal system   orthorhombic

a b c (Å): 4.0817 4.0978 6.6439
angles (deg): 90.00 90.00 90.00
Closest atoms and distances in Å follow each position.
Element x y z (fractional)
Au: 0.5000 0.5000 0.8750  4 Br 2.89
Hg: 0.0000 0.0000 0.3750  4 Br 2.89
Br: 0.0000 0.0000 0.8750  4 Au 2.89
Br: 0.5000 0.5000 0.3751  4 Hg 2.89

Entry 2:
Entry from the Alexandria database: a relaxed NdTmH2 crystal (PBE).

Results
Magnetization   0.000 μB per atom
Symmetry   R3m
Volume   16.0 A^3/atom
E_tot   -4.258 eV/atom
Crystal system   trigonal

a b c (Å): 3.5176 3.5176 6.3142
angles (deg): 73.83 73.83 60.00
Closest atoms and distances in Å follow each position.
Element x y z (fractional)
Nd: 0.4901 0.4901 0.5296  3 H 2.57
Tm: 0.6691 0.6691 0.9927  6 H 2.33-2.35
H: 0.0687 0.0687 0.7940  3 Tm 2.35, 3 Nd 2.57
H: 0.2721 0.2721 0.1838  3 Tm 2.33

Entry 3:
Entry from the Alexandria database: a relaxed PPb crystal (PBE).

Results
Magnetization   0.000 μB per atom
Symmetry   Imma
Volume   24.2 A^3/atom
E_tot   -4.381 eV/atom
Crystal system   orthorhombic

a b c (Å): 6.2350 6.2350 6.2350
angles (deg): 148.94 128.61 61.27
Closest atoms and distances in Å follow each position.
Element x y z (fractional)
P: 0.5710 0.8210 0.7500  2 P 2.26
P: 0.4290 0.1790 0.2500  2 P 2.26
Pb: 0.1403 0.3903 0.7500  8 P 3.26-3.53, 6 Pb 3.34-3.58
Pb: 0.8597 0.6097 0.2500  8 P 3.26-3.53, 6 Pb 3.34-3.58

Entry 4:
Entry from the Alexandria database: a relaxed Cs9Rb6Na crystal (PBE).

Results
Magnetization   0.000 μB per atom
Symmetry   I4/m
Volume   102.3 A^3/atom
E_tot   -0.908 eV/atom
Crystal system   tetragonal

a b c (Å): 12.1959 12.1959 13.9792
angles (deg): 115.86 115.86 90.00
Closest atoms and distances in Å follow each position.
Element x y z (fractional)
Cs: 0.9699 0.7801 0.3190  5 Rb 5.07-5.29, 5 Cs 5.29-5.56
Cs: 0.3490 0.5389 0.3190  5 Rb 5.07-5.29, 5 Cs 5.29-5.56
Cs: 0.7801 0.3490 0.3190  5 Rb 5.07-5.29, 5 Cs 5.29-5.56
Cs: 0.5389 0.9699 0.3190  5 Rb 5.07-5.29, 5 Cs 5.29-5.56
Cs: 0.0301 0.2199 0.6810  5 Rb 5.07-5.29, 5 Cs 5.29-5.56
Cs: 0.6510 0.4611 0.6810  5 Rb 5.07-5.29, 5 Cs 5.29-5.56
Cs: 0.2199 0.6510 0.6810  5 Rb 5.07-5.29, 5 Cs 5.29-5.56
Cs: 0.4611 0.0301 0.6810  5 Rb 5.07-5.29, 5 Cs 5.29-5.56
Cs: 0.5000 0.5000 0.0000  4 Rb 5.33, 8 Cs 5.37
Rb: 0.6847 0.8963 0.0000  1 Na 4.05
Rb: 0.3153 0.1037 0.0000  1 Na 4.05
Rb: 0.8963 0.3153 0.0000  1 Na 4.05
Rb: 0.1037 0.6847 0.0000  1 Na 4.05
Rb: 0.8137 0.8137 0.6274  1 Na 4.10
Rb: 0.1863 0.1863 0.3726  1 Na 4.10
Na: 0.0000 0.0000 0.0000  6 Rb 4.05-4.10

Among the records above, which one has the lowest volume? NdTmH2

What did the first record say?
Entry from the Alexandria database: a relaxed HgAuBr2 crystal (PBE).

Results
Magnetization   0.000 μB per atom
Symmetry   Pmmm
Volume   27.8 A^3/atom
E_tot   -1.687 eV/atom
Crystal system   orthorhombic

a b c (Å): 4.0817 4.0978 6.6439
angles (deg): 90.00 90.00 90.00
Closest atoms and distances in Å follow each position.
Element x y z (fractional)
Au: 0.5000 0.5000 0.8750  4 Br 2.89
Hg: 0.0000 0.0000 0.3750  4 Br 2.89
Br: 0.0000 0.0000 0.8750  4 Au 2.89
Br: 0.5000 0.5000 0.3751  4 Hg 2.89